<A>
The following is a DFT calculation (GGA-PBEsol) of an optimized crystal structure of LaCd2W.

Output
* symmetry: Immm (71)
* crystal system: orthorhombic
* theoretical density: 10514 kg/m3

a = 3.329 Å, b = 4.807 Å, c = 6.144 Å
α = 113.03°, β = 105.72°, γ = 90.00°
Sites, in units of the cell vectors:
Cd: 0.721 0.721 0.442
Cd: 0.279 0.279 0.558
La: 0.500 0.000 0.000
W: 0.000 0.500 0.000

=====

<B>
The following is a DFT calculation (GGA-PBEsol) of an optimized crystal structure of LaCd2W.

Output
* symmetry: C2/m (12)
* crystal system: monoclinic
* theoretical density: 10627 kg/m3

a = 2.983 Å, b = 5.341 Å, c = 5.685 Å
α = 101.39°, β = 105.21°, γ = 90.00°
Sites, in units of the cell vectors:
Cd: 0.268 0.277 0.536
Cd: 0.732 0.723 0.464
La: 0.500 0.000 0.000
W: 0.000 0.500 0.000

=====

<C>
The following is a DFT calculation (GGA-PBEsol) of an optimized crystal structure of LaCd2W.

Output
* symmetry: Cmmm (65)
* crystal system: orthorhombic
* theoretical density: 10893 kg/m3

a = 3.007 Å, b = 5.598 Å, c = 5.598 Å
α = 117.66°, β = 90.04°, γ = 90.04°
Sites, in units of the cell vectors:
Cd: 0.000 0.500 0.000
Cd: 0.000 0.000 0.500
La: 0.500 0.500 0.500
W: 0.500 0.000 0.000

=====

The most stable arrangement is <A>, and the next structure is 1.9 kJ/mol of atoms less stable.